1.
DFT (PBE) results for a relaxed Ca4Cu2F crystal.

```
7
Lattice="-0.951 -1.972 -4.113 4.506 -1.055 -0.536 -2.990 -5.522 5.977" Properties=species:S:1:pos:R:3 pbc="T T T"
Ca 1.024 -5.886 -0.055
Ca 2.253 -0.528 -0.268
Ca -0.459 -2.663 1.382
Ca -0.476 -0.986 -2.057
Cu 1.474 -3.275 -1.410
Cu -0.909 -5.273 2.738
F 0.000 0.000 0.000
```

Calculated values
Its electronic total energy is -3.3489 eV/atom. Its total moment is 0.00 μB/cell. Its space-group type is I4/mmm, No. 139. The value obtained for the energy relative to the elements, uncorrected is -0.77 eV per atom.


2.
DFT (PBE) results for a relaxed Ca2CuF8 crystal.

```
11
Lattice="4.337 0.080 1.197 1.185 5.713 1.547 0.051 0.068 6.036" Properties=species:S:1:pos:R:3 pbc="T T T"
Ca 3.600 3.864 5.770
Ca 1.973 1.997 3.010
F 4.396 5.185 7.632
F 1.177 0.676 1.148
F 3.607 1.896 7.122
F 1.566 3.424 4.703
F 4.338 5.534 4.230
F 1.966 3.965 1.658
F 4.007 2.437 4.077
F 1.235 0.327 4.550
Cu 0.000 0.000 0.000
```

Calculated values
Its electronic total energy is -4.7175 eV/atom. Its relative energy among the computed polymorphs is 0 meV per atom. Its total moment is 1.25 μB/cell. Its space-group type is C2/m, No. 12. The value obtained for the energy relative to the elements, uncorrected is -2.62 eV per atom.